[1]
Li9AlZn2, optimized geometry, DFT PBE-GGA; energy of formation from the pure elements = -0.06 eV/atom; final energy = -24.23 eV/cell; ρ = 1.84 g cm⁻³; total moment = 0.000 μB per atom
1.0
2.745 0.000 0.000
0.000 9.153 0.000
0.000 -4.576 7.927
Zn Li Al
2 9 1
direct
0.000 0.333 0.667
0.000 0.667 0.333
0.500 0.663 0.832
0.000 0.500 0.500
0.500 0.337 0.168
0.500 0.168 0.832
0.500 0.832 0.168
0.500 0.832 0.663
0.500 0.168 0.337
0.000 0.000 0.500
0.000 0.500 0.000
0.000 0.000 0.000



[2]
Hf2NpIr, optimized geometry, DFT PBE-GGA; energy of formation from the pure elements = -0.26 eV/atom; energy relative to the lowest polymorph listed for this composition = 0.0 meV/atom; final energy = -42.76 eV/cell; ρ = 16.25 g cm⁻³; total moment = 0.949 μB per atom
1.0
3.214 0.000 0.000
0.000 3.214 0.000
0.000 0.000 7.777
Ir Hf Np
1 2 1
direct
0.500 0.500 0.000
0.000 0.000 0.215
0.000 0.000 0.785
0.500 0.500 0.500



[3]
Dy5Te5Se2, optimized geometry, DFT PBE-GGA; final energy = -63.77 eV/cell; ρ = 7.34 g cm⁻³; ΔE_f (raw) = -1507 meV per atom; total moment = 0.000 μB per atom
1.0
4.198 0.000 0.000
-2.099 7.063 -0.009
0.000 -3.388 12.278
Te Dy Se
5 5 2
direct
0.664 0.327 0.052
0.252 0.504 0.647
0.500 0.000 0.500
0.748 0.496 0.353
0.336 0.673 0.948
0.109 0.218 0.409
0.000 0.000 0.000
0.891 0.782 0.591
0.315 0.630 0.194
0.685 0.370 0.806
0.961 0.922 0.210
0.039 0.078 0.790